(1)
# Li2MgBr, optimized geometry, DFT GGA-PBE
data_Li2MgBr
_space_group_name_H-M_alt 'P 4 m m'
_space_group_IT_number 99
_space_group_name_Hall 'P 4 -2'
_cell_length_a 3.5883
_cell_length_b 3.5883
_cell_length_c 8.0504
_cell_angle_alpha 90.00
_cell_angle_beta 90.00
_cell_angle_gamma 90.00
loop_
_atom_site_label
_atom_site_fract_x
_atom_site_fract_y
_atom_site_fract_z
_atom_site_occupancy
Li1 0.0000 0.0000 0.0000 1
Li2 0.5000 0.5000 0.2478 1
Mg1 0.0000 0.0000 0.4431 1
Br1 0.5000 0.5000 0.9286 1
# Crystal system: tetragonal

***

(2)
# Li2MgBr4, optimized geometry, DFT GGA-PBE
data_Li2MgBr4
_space_group_name_H-M_alt 'I 4/m m m'
_space_group_IT_number 139
_space_group_name_Hall '-I 4 2'
_cell_length_a 5.3575
_cell_length_b 5.3575
_cell_length_c 13.6667
_cell_angle_alpha 90.00
_cell_angle_beta 90.00
_cell_angle_gamma 90.00
loop_
_atom_site_label
_atom_site_fract_x
_atom_site_fract_y
_atom_site_fract_z
_atom_site_occupancy
Li1 0.0000 0.0000 0.1336 1
Mg1 0.0000 0.0000 0.5000 1
Br1 0.0000 0.0000 0.3105 1
Br2 0.0000 0.5000 0.0000 1
# Crystal system: tetragonal

***

Record order is preserved below.
Polymorph energy (0 for the lowest one): 0.0814, 0.2060 eV per atom
Record order is preserved below.
Formation energy without anion corrections: -0.531, -1.301 eV/atom